1.
Material: Ti4GaMo3
Method: DFT, PBE
State: optimized geometry

abc: 3.244 4.494 8.713
angles: 90.00 90.00 90.00
Fractional coordinates of all 8 atoms:
Mo  0.500  0.000  0.243
Mo  0.500  0.000  0.757
Mo  0.500  0.500  0.500
Ti  0.000  0.500  0.260
Ti  0.000  0.500  0.740
Ti  0.000  0.000  0.000
Ti  0.000  0.000  0.500
Ga  0.500  0.500  0.000

The value obtained for the total energy is -68.9 eV/cell. Its density of states at the Fermi level is 8.21 states/eV/f.u. The space group is Pmmm.

2.
Material: TiGaMo
Method: DFT, PBE
State: optimized geometry

abc: 3.726 3.726 7.546
angles: 104.29 104.29 90.00
Fractional coordinates of all 6 atoms:
Ga  0.358  0.358  0.715
Ga  0.642  0.642  0.285
Mo  0.000  0.500  0.000
Mo  0.500  0.000  0.000
Ti  0.171  0.171  0.342
Ti  0.829  0.829  0.658

The value obtained for the total energy is -45.2 eV/cell. Its density of states at the Fermi level is 1.62 states/eV/f.u. The energy above the most stable polymorph in this dataset is 0.00 eV/f.u. The space group is I4/mmm.

3.
Material: Ti4Ga5Mo
Method: DFT, PBE
State: optimized geometry

abc: 5.186 6.360 6.360
angles: 80.43 65.94 65.94
Fractional coordinates of all 10 atoms:
Ti  0.802  0.797  0.601
Ti  0.403  0.399  0.797
Ti  0.200  0.203  0.399
Ti  0.599  0.601  0.203
Ga  0.901  0.396  0.803
Ga  0.704  0.197  0.396
Ga  0.100  0.604  0.197
Ga  0.502  0.000  0.000
Ga  0.297  0.803  0.604
Mo  0.002  0.000  0.000

The value obtained for the total energy is -57.8 eV/cell. Its density of states at the Fermi level is 6.08 states/eV/f.u. The space group is I4/m.

4.
Material: TiGa3Mo
Method: DFT, PBE
State: optimized geometry

abc: 4.773 4.773 4.773
angles: 90.00 90.00 90.00
Fractional coordinates of all 5 atoms:
Mo  0.000  0.000  0.000
Ga  0.500  0.000  0.000
Ga  0.000  0.000  0.500
Ga  0.000  0.500  0.000
Ti  0.500  0.500  0.500

The value obtained for the total energy is -24.6 eV/cell. Its density of states at the Fermi level is 6.68 states/eV/f.u. The energy above the most stable polymorph in this dataset is 3.62 eV/f.u. The space group is Pm-3m.

5.
Material: TiGa2Mo
Method: DFT, PBE
State: optimized geometry

abc: 2.907 8.902 4.928
angles: 90.00 90.00 90.00
Fractional coordinates of all 8 atoms:
Ga  0.500  0.248  0.836
Ga  0.000  0.252  0.336
Ga  0.500  0.752  0.164
Ga  0.000  0.748  0.664
Mo  0.000  0.000  0.000
Mo  0.500  0.500  0.500
Ti  0.500  0.000  0.500
Ti  0.000  0.500  0.000

The value obtained for the total energy is -51.4 eV/cell. Its density of states at the Fermi level is 2.63 states/eV/f.u. The energy above the most stable polymorph in this dataset is 0.14 eV/f.u. The space group is Pnnm.

6.
Material: Ti3Ga3Mo
Method: DFT, PBE
State: optimized geometry

abc: 5.824 5.824 7.474
angles: 94.59 94.59 101.85
Last column: magnetic moment on the atom in μB.
Fractional coordinates of all 14 atoms:
Ti  0.361  0.361  0.553  -0.05
Ti  0.131  0.869  0.500  0.15
Ti  0.639  0.639  0.447  -0.05
Ti  0.267  0.733  0.000  0.01
Ti  0.869  0.131  0.500  0.15
Ti  0.733  0.267  0.000  0.01
Ga  0.496  0.039  0.291  0.00
Ga  0.961  0.504  0.709  0.00
Ga  0.504  0.961  0.709  0.00
Ga  0.231  0.231  0.852  0.00
Ga  0.039  0.496  0.291  0.00
Ga  0.769  0.769  0.148  0.00
Mo  0.869  0.869  0.837  -0.01
Mo  0.131  0.131  0.163  -0.01

The value obtained for the total energy is -86.7 eV/cell. Its density of states at the Fermi level is 5.84 states/eV/f.u. The space group is C2/m.

7.
Material: Ti7Ga2Mo
Method: DFT, PBE
State: optimized geometry

abc: 6.594 6.594 6.594
angles: 60.00 60.00 60.00
Last column: magnetic moment on the atom in μB.
Fractional coordinates of all 10 atoms:
Ti  0.748  0.748  0.252  0.35
Ti  0.500  0.500  0.500  0.16
Ti  0.252  0.748  0.748  0.35
Ti  0.252  0.748  0.252  0.35
Ti  0.748  0.252  0.252  0.35
Ti  0.748  0.252  0.748  0.35
Ti  0.252  0.252  0.748  0.35
Mo  0.000  0.000  0.000  -0.03
Ga  0.250  0.250  0.250  -0.01
Ga  0.750  0.750  0.750  -0.01

The value obtained for the total energy is -64.4 eV/cell. Its density of states at the Fermi level is 17.04 states/eV/f.u. The space group is Fm-3m.

8.
Material: Ti6Ga3Mo
Method: DFT, PBE
State: optimized geometry

abc: 6.652 6.652 6.652
angles: 60.00 60.00 60.00
Fractional coordinates of all 10 atoms:
Ga  0.250  0.250  0.250
Ga  0.500  0.500  0.500
Ga  0.750  0.750  0.750
Mo  0.000  0.000  0.000
Ti  0.752  0.248  0.752
Ti  0.752  0.248  0.248
Ti  0.248  0.752  0.248
Ti  0.248  0.248  0.752
Ti  0.248  0.752  0.752
Ti  0.752  0.752  0.248

The value obtained for the total energy is -61.4 eV/cell. Its density of states at the Fermi level is 16.86 states/eV/f.u. The space group is Fm-3m.

Formation energy from the elements per entry: -0.221 -0.285 -0.024 0.645 -0.224 0.035 0.777 0.587 eV/atom